Entry 1:
Pm3PuGe3 after structural relaxation. Source: Alexandria, functional PBE.

```
14
Lattice="4.220 -4.980 0.000 4.220 4.980 0.000 -0.314 0.000 8.766" Properties=species:S:1:pos:R:3 pbc="T T T"
Pm 4.220 3.184 0.000
Pm 4.063 2.592 4.383
Pm 3.702 0.000 7.024
Pm 4.424 0.000 1.741
Pm 4.063 -2.592 4.383
Pm 4.220 -3.184 0.000
Pu 1.876 0.000 3.791
Pu 6.251 0.000 4.975
Ge 1.869 2.416 6.612
Ge 0.501 0.000 6.453
Ge 1.869 -2.416 6.612
Ge 6.257 2.416 2.153
Ge 7.626 0.000 2.312
Ge 6.257 -2.416 2.153
```

## Properties
mass density: 8.09 Mg/m³
calculated formation energy: -0.464 eV/atom
space-group type: C2/m (12)

Entry 2:
Pm4Pu6Ge7 after structural relaxation. Source: Alexandria, functional PBE.

```
17
Lattice="-4.779 4.779 4.779 4.779 -4.779 4.779 4.779 4.779 -4.779" Properties=species:S:1:pos:R:3 pbc="T T T"
Pm 2.389 2.389 -2.389
Pm 2.389 -2.389 2.389
Pm -2.389 2.389 2.389
Pm 2.389 2.389 2.389
Pu 3.006 0.000 0.000
Pu 6.551 0.000 0.000
Pu 0.000 3.006 0.000
Pu 0.000 0.000 3.006
Pu 0.000 6.551 0.000
Pu 0.000 0.000 6.551
Ge 0.000 0.000 0.000
Ge 4.779 2.389 0.000
Ge 4.779 0.000 2.389
Ge 2.389 4.779 0.000
Ge 2.389 0.000 4.779
Ge 0.000 4.779 2.389
Ge 0.000 2.389 4.779
```

## Properties
mass density: 9.71 Mg/m³
calculated formation energy: -0.077 eV/atom
space-group type: Im-3m (229)

Entry 3:
Pm5Pu2Ge4 after structural relaxation. Source: Alexandria, functional PBE.

```
11
Lattice="12.896 -1.766 0.000 12.896 1.766 0.000 -0.122 0.000 7.020" Properties=species:S:1:pos:R:3 pbc="T T T"
Pm 0.000 0.000 0.000
Pm 6.874 0.000 5.297
Pm 9.445 0.000 1.295
Pm 16.226 0.000 5.726
Pm 18.796 0.000 1.723
Pu 10.423 0.000 4.847
Pu 15.248 0.000 2.173
Ge 4.404 0.000 3.586
Ge 12.207 0.000 2.420
Ge 13.463 0.000 4.600
Ge 21.267 0.000 3.434
```

## Properties
mass density: 7.81 Mg/m³
calculated formation energy: -0.225 eV/atom
space-group type: C2/m (12)

Entry 4:
PmPu3Ge4 after structural relaxation. Source: Alexandria, functional PBE.

```
16
Lattice="2.997 0.000 0.000 0.000 7.891 0.000 0.000 0.000 16.015" Properties=species:S:1:pos:R:3 pbc="T T T"
Pm 0.000 0.000 0.000
Pm 1.498 3.946 8.007
Pu 0.000 0.000 8.007
Pu 0.000 3.946 4.388
Pu 0.000 3.946 11.626
Pu 1.498 0.000 3.619
Pu 1.498 0.000 12.396
Pu 1.498 3.946 0.000
Ge 0.000 2.144 2.036
Ge 0.000 2.144 13.978
Ge 0.000 5.748 2.036
Ge 0.000 5.748 13.978
Ge 1.498 1.802 5.971
Ge 1.498 1.802 10.044
Ge 1.498 6.089 5.971
Ge 1.498 6.089 10.044
```

## Properties
mass density: 10.24 Mg/m³
calculated formation energy: -0.277 eV/atom
space-group type: Immm (71)

Entry 5:
Pm2PuGe after structural relaxation. Source: Alexandria, functional PBE.

```
4
Lattice="3.898 0.000 0.000 0.000 3.898 0.000 0.000 0.000 7.157" Properties=species:S:1:pos:R:3 pbc="T T T"
Pm 0.000 0.000 1.532
Pm 0.000 0.000 5.626
Pu 1.949 1.949 3.579
Ge 1.949 1.949 0.000
```

## Properties
mass density: 9.26 Mg/m³
calculated formation energy: -0.218 eV/atom
space-group type: P4/mmm (123)
energy relative to the lowest polymorph listed for this composition: 1.02 kcal/mol of atoms

Entry 6:
PmPuGe2 after structural relaxation. Source: Alexandria, functional PBE.

```
4
Lattice="3.342 0.000 0.000 0.000 3.342 0.000 0.000 0.000 8.270" Properties=species:S:1:pos:R:3 pbc="T T T"
Pm 0.000 0.000 0.000
Pu 0.000 0.000 4.135
Ge 1.671 1.671 2.108
Ge 1.671 1.671 6.162
```

## Properties
mass density: 9.61 Mg/m³
calculated formation energy: -0.525 eV/atom
space-group type: P4/mmm (123)

Entry 7:
PmPu2Ge3 after structural relaxation. Source: Alexandria, functional PBE.

```
6
Lattice="3.301 0.000 0.000 0.000 3.301 0.000 0.000 0.000 12.444" Properties=species:S:1:pos:R:3 pbc="T T T"
Pm 0.000 0.000 0.000
Pu 0.000 0.000 4.176
Pu 0.000 0.000 8.268
Ge 1.650 1.650 2.132
Ge 1.650 1.650 6.222
Ge 1.650 1.650 10.312
```

## Properties
mass density: 10.42 Mg/m³
calculated formation energy: -0.497 eV/atom
space-group type: P4/mmm (123)

Entry 8:
PmPu6Ge6 after structural relaxation. Source: Alexandria, functional PBE.

```
13
Lattice="3.040 -5.066 0.000 3.040 5.066 0.000 0.000 0.000 9.592" Properties=species:S:1:pos:R:3 pbc="T T T"
Pm 0.000 0.000 0.000
Pu 1.520 2.533 2.213
Pu 1.520 2.533 7.380
Pu 1.520 -2.533 2.213
Pu 1.520 -2.533 7.380
Pu 3.040 0.000 2.989
Pu 3.040 0.000 6.604
Ge 0.000 0.000 3.010
Ge 0.000 0.000 6.582
Ge 3.040 2.750 4.796
Ge 3.040 1.273 0.000
Ge 3.040 -1.273 0.000
Ge 3.040 -2.750 4.796
```

## Properties
mass density: 11.49 Mg/m³
calculated formation energy: -0.256 eV/atom
space-group type: Cmmm (65)

Entry 9:
Pm5PuGe5 after structural relaxation. Source: Alexandria, functional PBE.

```
11
Lattice="6.753 -2.980 0.000 6.753 2.980 0.000 -2.629 0.000 7.938" Properties=species:S:1:pos:R:3 pbc="T T T"
Pm 0.000 0.000 0.000
Pm 3.963 0.000 1.338
Pm 2.722 0.000 5.269
Pm 8.155 0.000 2.669
Pm 6.914 0.000 6.601
Pu -1.314 0.000 3.969
Ge 1.243 0.000 2.655
Ge -0.008 0.000 6.571
Ge 5.438 0.000 3.969
Ge 10.885 0.000 1.368
Ge 9.634 0.000 5.283
```

## Properties
mass density: 6.92 Mg/m³
calculated formation energy: -0.553 eV/atom
space-group type: C2/m (12)

Entry 10:
Pm2PuGe after structural relaxation. Source: Alexandria, functional PBE.

```
12
Lattice="3.602 0.000 0.000 -1.801 3.120 0.000 0.000 0.000 32.804" Properties=species:S:1:pos:R:3 pbc="T T T"
Pm 0.000 0.000 3.344
Pm 0.000 0.000 29.460
Pm 0.000 2.080 18.526
Pm 0.000 2.080 25.213
Pm 1.801 1.040 7.591
Pm 1.801 1.040 14.278
Pu 0.000 0.000 0.000
Pu 0.000 2.080 21.869
Pu 1.801 1.040 10.935
Ge 0.000 0.000 16.402
Ge 0.000 2.080 5.467
Ge 1.801 1.040 27.337
```

## Properties
mass density: 8.20 Mg/m³
calculated formation energy: 0.073 eV/atom
space-group type: R-3m (166)
energy relative to the lowest polymorph listed for this composition: 7.72 kcal/mol of atoms

Entry 11:
PmPu4Ge4 after structural relaxation. Source: Alexandria, functional PBE.

```
18
Lattice="8.715 0.000 0.000 0.000 8.715 0.000 0.000 0.000 5.730" Properties=species:S:1:pos:R:3 pbc="T T T"
Pm 2.179 2.179 1.432
Pm 6.536 6.536 4.297
Pu 0.806 7.294 3.430
Pu 1.421 5.164 0.565
Pu 2.937 7.909 0.565
Pu 3.551 5.778 3.430
Pu 5.164 2.937 2.300
Pu 5.778 0.806 5.165
Pu 7.294 3.551 5.165
Pu 7.909 1.421 2.300
Ge 0.269 1.094 5.081
Ge 1.094 4.088 3.514
Ge 3.263 0.269 3.514
Ge 4.088 3.263 5.081
Ge 4.627 5.452 0.649
Ge 5.452 8.446 2.216
Ge 7.621 4.627 2.216
Ge 8.446 7.621 0.649
```

## Properties
mass density: 10.77 Mg/m³
calculated formation energy: -0.241 eV/atom
space-group type: P4_2/n (86)

Entry 12:
PmPuGe2 after structural relaxation. Source: Alexandria, functional PBE.

```
8
Lattice="3.988 0.000 0.000 0.000 5.905 0.000 0.000 0.000 8.242" Properties=species:S:1:pos:R:3 pbc="T T T"
Pm 0.000 0.804 0.000
Pm 0.000 5.101 4.121
Pu 1.994 2.155 2.996
Pu 1.994 3.750 7.117
Ge 0.000 2.285 5.325
Ge 0.000 3.620 1.204
Ge 1.994 0.668 5.919
Ge 1.994 5.237 1.799
```

## Properties
mass density: 9.14 Mg/m³
calculated formation energy: -0.611 eV/atom
space-group type: Pmc2_1 (26)

Entry 13:
Pm12PuGe6 after structural relaxation. Source: Alexandria, functional PBE.

```
19
Lattice="6.857 3.959 3.661 -6.857 3.959 3.661 0.000 -7.918 3.661" Properties=species:S:1:pos:R:3 pbc="T T T"
Pm -2.563 -3.478 3.661
Pm -4.294 -0.481 3.661
Pm 0.000 -2.117 1.588
Pm -1.834 1.059 1.588
Pm 1.834 1.059 1.588
Pm -4.294 0.481 7.322
Pm -1.731 3.959 3.661
Pm -2.563 3.478 7.322
Pm 1.731 3.959 3.661
Pm -1.834 -1.059 9.395
Pm 1.834 -1.059 9.395
Pm 0.000 2.117 9.395
Pu 0.000 0.000 5.491
Ge -3.806 -2.198 6.168
Ge 0.000 -4.395 4.814
Ge -3.806 2.198 4.814
Ge 3.806 -2.198 6.168
Ge 0.000 4.395 6.168
Ge 3.806 2.198 4.814
```

## Properties
mass density: 6.74 Mg/m³
calculated formation energy: -0.380 eV/atom
space-group type: R-3m (166)

Entry 14:
Pm6PuGe4 after structural relaxation. Source: Alexandria, functional PBE.

```
11
Lattice="9.325 0.000 0.000 -4.662 8.075 0.000 0.000 0.000 4.075" Properties=species:S:1:pos:R:3 pbc="T T T"
Pm 0.000 3.141 0.000
Pm -1.942 6.505 0.000
Pm 4.662 0.670 2.038
Pm 2.911 3.703 2.038
Pm 1.942 6.505 0.000
Pm 6.414 3.703 2.038
Pu 0.000 0.000 2.038
Ge 2.298 1.326 0.000
Ge 0.000 5.384 2.038
Ge 7.027 1.326 0.000
Ge 4.662 5.422 0.000
```

## Properties
mass density: 7.60 Mg/m³
calculated formation energy: -0.501 eV/atom
space-group type: P-6m2 (187)

Entry 15:
Pm2PuGe after structural relaxation. Source: Alexandria, functional PBE.

```
4
Lattice="4.822 0.000 0.000 0.000 4.822 0.000 0.000 0.000 4.511" Properties=species:S:1:pos:R:3 pbc="T T T"
Pm 0.000 2.411 0.000
Pm 2.411 0.000 0.000
Pu 0.000 0.000 2.255
Ge 2.411 2.411 2.255
```

## Properties
mass density: 9.60 Mg/m³
calculated formation energy: -0.262 eV/atom
space-group type: P4/mmm (123)
energy relative to the lowest polymorph listed for this composition: 0.00 kcal/mol of atoms

Entry 16:
Pm2PuGe4Rh3 after structural relaxation. Source: Alexandria, functional PBE.

```
10
Lattice="4.251 0.000 0.000 0.000 4.251 0.000 0.000 0.000 11.238" Properties=species:S:1:pos:R:3 pbc="T T T"
Pm 0.000 2.125 2.572
Pm 2.125 0.000 8.666
Pu 0.000 0.000 5.619
Ge 0.000 0.000 0.000
Ge 0.000 2.125 7.564
Ge 2.125 0.000 3.674
Ge 2.125 2.125 0.000
Rh 0.000 2.125 9.975
Rh 2.125 0.000 1.263
Rh 2.125 2.125 5.619
```

## Properties
mass density: 9.27 Mg/m³
calculated formation energy: -0.686 eV/atom
space-group type: P-4m2 (115)

Entry 17:
PmPuGeRh after structural relaxation. Source: Alexandria, functional PBE.

```
16
Lattice="7.110 0.000 0.000 0.000 7.110 0.000 0.000 0.000 7.110" Properties=species:S:1:pos:R:3 pbc="T T T"
Pm 0.000 0.000 0.000
Pm 0.000 3.555 3.555
Pm 3.555 0.000 3.555
Pm 3.555 3.555 0.000
Pu 0.000 0.000 3.555
Pu 0.000 3.555 0.000
Pu 3.555 0.000 0.000
Pu 3.555 3.555 3.555
Ge 1.778 1.778 5.333
Ge 1.778 5.333 1.778
Ge 5.333 1.778 1.778
Ge 5.333 5.333 5.333
Rh 1.778 1.778 1.778
Rh 1.778 5.333 5.333
Rh 5.333 1.778 5.333
Rh 5.333 5.333 1.778
```

## Properties
mass density: 10.43 Mg/m³
calculated formation energy: -0.444 eV/atom
space-group type: F-43m (216)

Entry 18:
Pm2PuGe3Rh4 after structural relaxation. Source: Alexandria, functional PBE.

```
10
Lattice="4.227 0.000 0.000 0.000 4.227 0.000 0.000 0.000 10.954" Properties=species:S:1:pos:R:3 pbc="T T T"
Pm 0.000 2.114 2.520
Pm 2.114 0.000 8.435
Pu 0.000 0.000 5.477
Ge 0.000 2.114 9.613
Ge 2.114 0.000 1.342
Ge 2.114 2.114 5.477
Rh 0.000 0.000 0.000
Rh 0.000 2.114 7.153
Rh 2.114 0.000 3.801
Rh 2.114 2.114 0.000
```

## Properties
mass density: 9.87 Mg/m³
calculated formation energy: -0.805 eV/atom
space-group type: P-4m2 (115)

Entry 19:
PmPuSiGe after structural relaxation. Source: Alexandria, functional PBE.

```
16
Lattice="7.163 0.000 0.000 0.000 7.163 0.000 0.000 0.000 7.163" Properties=species:S:1:pos:R:3 pbc="T T T"
Pm 0.000 0.000 0.000
Pm 0.000 3.582 3.582
Pm 3.582 0.000 3.582
Pm 3.582 3.582 0.000
Pu 0.000 0.000 3.582
Pu 0.000 3.582 0.000
Pu 3.582 0.000 0.000
Pu 3.582 3.582 3.582
Si 1.791 1.791 1.791
Si 1.791 5.372 5.372
Si 5.372 1.791 5.372
Si 5.372 5.372 1.791
Ge 1.791 1.791 5.372
Ge 1.791 5.372 1.791
Ge 5.372 1.791 1.791
Ge 5.372 5.372 5.372
```

## Properties
mass density: 8.85 Mg/m³
space-group type: F-43m (216)
formation energy without anion corrections: -383 meV/atom

Entry 20:
PmPuGeTe after structural relaxation. Source: Alexandria, functional PBE.

```
16
Lattice="7.474 0.000 0.000 0.000 7.474 0.000 0.000 0.000 7.474" Properties=species:S:1:pos:R:3 pbc="T T T"
Pm 0.000 0.000 0.000
Pm 0.000 3.737 3.737
Pm 3.737 0.000 3.737
Pm 3.737 3.737 0.000
Pu 0.000 0.000 3.737
Pu 0.000 3.737 0.000
Pu 3.737 0.000 0.000
Pu 3.737 3.737 3.737
Ge 1.869 1.869 1.869
Ge 1.869 5.606 5.606
Ge 5.606 1.869 5.606
Ge 5.606 5.606 1.869
Te 1.869 1.869 5.606
Te 1.869 5.606 1.869
Te 5.606 1.869 1.869
Te 5.606 5.606 5.606
```

## Properties
mass density: 9.37 Mg/m³
space-group type: F-43m (216)
formation energy without anion corrections: -676 meV/atom

Sequential DOS at the Fermi energy output: 23.51; 51.19; 24.21; 48.65; 8.13; 8.04; 13.93; 35.18; 15.84; 30.38; 55.60; 22.47; 34.56; 18.86; 11.12; 13.59; 36.20; 8.65; 36.66; 45.24 states/eV/cell
Sequential M_tot output: 12.4; 40.5; 12.6; 10.7; 6.7; 5.6; 11.0; 10.0; 5.3; 19.2; 46.1; 12.5; 7.2; 7.3; 6.4; 5.0; 19.2; 4.9; 23.1; 22.3 Bohr magnetons per cell